No. 1
Here is crystalline MnBe3Rh at its relaxed geometry from Alexandria. Energies are from PBE.

Energy relative to the elements (meV per atom): 764
DFT total energy (eV per atom): -4.776
Distance to the lowest polymorph of the same formula (meV/atom): 0
D(E_F) (states/eV per atom): 1.101
Magnetization (Bohr magnetons per cell): 0.1

Lattice parameters (Å, degrees): 4.0268 4.0268 4.0268 90.00 90.00 90.00
With the nearest neighbours (Å) after each atom.
Space group Pm-3m (No. 221)
One atom of each set of equivalent atoms:
Mn (0.0000, 0.0000, 0.0000) x1  12 Be 2.85
Be (0.0000, 0.5000, 0.5000) x3  2 Rh 2.01
Rh (0.5000, 0.5000, 0.5000) x1  6 Be 2.01



No. 2
Here is crystalline Mn3BeRh at its relaxed geometry from Alexandria. Energies are from PBE.

Energy relative to the elements (meV per atom): 605
DFT total energy (eV per atom): -7.112
Distance to the lowest polymorph of the same formula (meV/atom): 0
D(E_F) (states/eV per atom): 1.256
Magnetization (Bohr magnetons per cell): 9.6

Lattice parameters (Å, degrees): 4.0531 4.0531 4.0531 90.00 90.00 90.00
With the nearest neighbours (Å) after each atom.
Space group Pm-3m (No. 221)
One atom of each set of equivalent atoms:
Mn (0.0000, 0.0000, 0.5000) x3  2 Be 2.03
Be (0.0000, 0.0000, 0.0000) x1  6 Mn 2.03
Rh (0.5000, 0.5000, 0.5000) x1  12 Mn 2.87